Record 1
Below is a relaxed KTc2Pt crystal, with properties calculated at the PBE-GGA level.

extended XYZ file:
```
4
Lattice="2.935 0.000 0.000 0.000 2.935 0.000 0.000 0.000 9.036" Properties=species:S:1:pos:R:3 pbc="T T T"
K 0.000 0.000 4.657
Pt 1.468 1.468 7.211
Tc 1.468 1.468 1.563
Tc 0.000 0.000 0.124
```

Values from the calculation:
The calculation puts the energy above the most stable polymorph in this dataset at 0.0024 eV/atom. For the formation energy, the calculation gives 0.4143 eV per atom.

=====

Record 2
Below is a relaxed KTcPt crystal, with properties calculated at the PBE-GGA level.

extended XYZ file:
```
6
Lattice="-7.458 2.034 8.436 -2.540 -3.079 -1.412 0.482 -3.960 1.420" Properties=species:S:1:pos:R:3 pbc="T T T"
Pt -3.416 -2.822 -0.396
Tc -0.696 -2.343 0.014
K -3.626 -4.031 2.617
Tc -8.820 -2.662 8.430
Pt -6.099 -2.184 8.840
K -5.890 -0.975 5.827
```

Values from the calculation:
The calculation puts the energy above the most stable polymorph in this dataset at 0.0000 eV/atom. For the formation energy, the calculation gives 0.1392 eV per atom.

=====

Record 3
Below is a relaxed KTcPt crystal, with properties calculated at the PBE-GGA level.

extended XYZ file:
```
12
Lattice="6.992 0.000 0.000 0.000 4.426 0.000 0.000 0.000 11.447" Properties=species:S:1:pos:R:3 pbc="T T T"
Tc 6.709 3.320 1.283
Tc 3.779 1.107 7.006
Pt 2.363 1.107 4.971
K 2.612 1.107 1.508
Tc 3.213 3.320 4.441
Pt 4.629 3.320 6.476
Tc 0.283 1.107 10.164
Pt 5.859 1.107 0.752
Pt 1.133 3.320 10.695
K 6.108 1.107 4.216
K 0.884 3.320 7.231
K 4.380 3.320 9.939
```

Values from the calculation:
The calculation puts the energy above the most stable polymorph in this dataset at 0.6618 eV/atom. For the formation energy, the calculation gives 0.8010 eV per atom.

=====

Record 4
Below is a relaxed KTc2Pt crystal, with properties calculated at the PBE-GGA level.

extended XYZ file:
```
4
Lattice="6.219 0.000 -0.001 3.610 5.063 0.001 -4.180 -3.958 2.353" Properties=species:S:1:pos:R:3 pbc="T T T"
Pt 2.172 1.819 1.177
K 3.477 -0.713 1.176
Tc 0.370 0.191 0.000
Tc 4.544 2.341 0.000
```

Values from the calculation:
The calculation puts the energy above the most stable polymorph in this dataset at 0.2805 eV/atom. For the formation energy, the calculation gives 0.6924 eV per atom.

=====

Record 5
Below is a relaxed KTcPt crystal, with properties calculated at the PBE-GGA level.

extended XYZ file:
```
3
Lattice="-5.984 1.559 -2.315 -6.216 -1.826 1.276 5.977 2.450 1.371" Properties=species:S:1:pos:R:3 pbc="T T T"
Tc -8.769 -0.192 -0.747
K -12.154 -0.266 -1.036
Pt -3.477 -0.076 -0.296
```

Values from the calculation:
The calculation puts the energy above the most stable polymorph in this dataset at 0.2782 eV/atom. For the formation energy, the calculation gives 0.4174 eV per atom.

=====

Record 6
Below is a relaxed KTcPt crystal, with properties calculated at the PBE-GGA level.

extended XYZ file:
```
3
Lattice="-1.567 1.196 -4.308 2.883 -0.330 -3.745 -0.735 -3.350 -3.267" Properties=species:S:1:pos:R:3 pbc="T T T"
Pt 0.000 0.000 0.000
K 0.436 -1.863 -8.490
Tc 0.291 -1.242 -5.660
```

Values from the calculation:
The calculation puts the energy above the most stable polymorph in this dataset at 1.8648 eV/atom. For the formation energy, the calculation gives 2.0040 eV per atom.